Here is a geometry-optimized Be2TeAs structure from the Alexandria database. Energies are from PBE.

a b c (Å): 6.189 6.221 3.644
angles (deg): 54.83 89.54 131.41
Fractional coordinates of all 4 atoms:
1 Be 0.000 0.000 0.000
2 Be 0.500 0.000 0.500
3 As 0.500 0.500 0.000
4 Te 0.000 0.500 0.500

Values from the calculation:
Symmetry   P-1 (2)
Formation energy (no corrections)   244 meV/atom
Energy relative to the lowest polymorph listed for this composition   337.2 meV per atom
Calculated total energy   -14.267 eV for the cell shown